Record 1
Material: YFeIN2
Method: DFT, PBE
State: optimized geometry

Values from the calculation:
The value obtained for the offset from the most stable computed form is 769.1 meV/atom. Its uncorrected energy is -5.26 eV/atom. The uncorrected formation energy comes out at 1370 meV per atom.

```
data_YFeIN2
_chemical_formula_sum 'Y1 Fe1 I1 N2'
_cell_length_a 4.2923
_cell_length_b 4.2923
_cell_length_c 4.5642
_cell_angle_alpha 90.00
_cell_angle_beta 90.00
_cell_angle_gamma 90.00
_space_group_name_H-M_alt 'P 4/m m m'
_space_group_IT_number 123
_space_group_name_Hall '-P 4 2'
loop_
_atom_site_label
_atom_site_fract_x
_atom_site_fract_y
_atom_site_fract_z
Y1 0.0000 0.0000 0.0000
Fe1 0.5000 0.5000 0.0000
I1 0.5000 0.5000 0.5000
N1 0.0000 0.5000 0.5000
```

Record 2
Material: K2PuInI6
Method: DFT, PBE
State: optimized geometry

Values from the calculation:
Its uncorrected energy is -3.97 eV/atom. The uncorrected formation energy comes out at -1113 meV per atom.

```
data_K2PuInI6
_chemical_formula_sum 'K4 Pu2 In2 I12'
_cell_length_a 8.2945
_cell_length_b 9.0901
_cell_length_c 14.6604
_cell_angle_alpha 90.00
_cell_angle_beta 123.70
_cell_angle_gamma 90.00
_space_group_name_H-M_alt 'P 1 21/c 1'
_space_group_IT_number 14
loop_
_space_group_symop_operation_xyz
'x,y,z'
'-x,-y,-z'
'-x,y+1/2,-z+1/2'
'x,-y+1/2,z+1/2'
loop_
_atom_site_label
_atom_site_fract_x
_atom_site_fract_y
_atom_site_fract_z
K1 0.2077 0.0955 0.2478
Pu1 0.5000 0.0000 0.0000
In1 0.0000 0.0000 0.5000
I1 0.1309 0.1783 0.9350
I2 0.2688 0.7052 0.9325
I3 0.3987 0.0468 0.7634
```

Question: Which formula does entry 2 have?
Answer: K2PuInI6

Question: The highest uncorrected energy belongs to which entry?
Answer: K2PuInI6

Question: Look up the uncorrected energy of the first one.
Answer: -5.26 eV/atom

Question: Which formula does entry 2 have?
Answer: K2PuInI6